First-principles (PBE+U) data for a geometry-optimized MnV4CuO12 structure, as listed in Alexandria via LeMat-Bulk.

Unit cell a=6.750 b=6.750 c=5.984 alpha=103.81 beta=103.81 gamma=84.09
Fractional coordinates of all 18 atoms:
1 Mn 0.000 0.000 0.000
2 V 0.289 0.306 0.510
3 V 0.470 0.132 0.013
4 V 0.694 0.711 0.490
5 V 0.868 0.530 0.987
6 Cu 0.170 0.830 0.500
7 O 0.042 0.713 0.086
8 O 0.123 0.108 0.407
9 O 0.169 0.539 0.517
10 O 0.287 0.958 0.914
11 O 0.430 0.292 0.802
12 O 0.453 0.270 0.307
13 O 0.461 0.831 0.483
14 O 0.701 0.008 0.025
15 O 0.708 0.570 0.198
16 O 0.730 0.547 0.693
17 O 0.892 0.877 0.593
18 O 0.992 0.299 0.975

Values from the calculation:
- size of the total moment (μB per formula unit) = 5.78
- final energy (eV per atom) = -7.284